Compound: Pr2Zn3Au2
Source: Alexandria via LeMat-Bulk
Functional: PBE
Structure: optimized geometry

- Density: 9.55 g cm⁻³
- DFT total energy: -23.7 eV per formula unit

Structure (CIF):
```
data_Pr2Zn3Au2
_cell_length_a 10.2407
_cell_length_b 4.6644
_cell_length_c 6.7206
_cell_angle_alpha 90.00
_cell_angle_beta 109.16
_cell_angle_gamma 90.00
_symmetry_space_group_name_H-M 'C 1 2/m 1'
_symmetry_Int_Tables_number 12
loop_
_symmetry_equiv_pos_as_xyz
'x,y,z'
'-x,-y,-z'
'-x,y,-z'
'x,-y,z'
'x+1/2,y+1/2,z'
'-x+1/2,-y+1/2,-z'
'-x+1/2,y+1/2,-z'
'x+1/2,-y+1/2,z'
loop_
_atom_site_label
_atom_site_type_symbol
_atom_site_fract_x
_atom_site_fract_y
_atom_site_fract_z
Pr1 Pr 0.1466 0.0000 0.2709
Zn1 Zn 0.0000 0.5000 0.5000
Zn2 Zn 0.0961 0.5000 0.9151
Au1 Au 0.1580 0.0000 0.7466
```


Compound: Ac8Pr2Hg
Source: Alexandria via LeMat-Bulk
Functional: PBE
Structure: optimized geometry

- Density: 8.29 g cm⁻³
- DFT total energy: -42.7 eV per formula unit

Structure (CIF):
```
data_Ac8Pr2Hg
_cell_length_a 19.6414
_cell_length_b 6.1454
_cell_length_c 8.1117
_cell_angle_alpha 90.00
_cell_angle_beta 109.85
_cell_angle_gamma 90.00
_symmetry_space_group_name_H-M 'C 1 2/m 1'
_symmetry_Int_Tables_number 12
loop_
_symmetry_equiv_pos_as_xyz
'x,y,z'
'-x,-y,-z'
'-x,y,-z'
'x,-y,z'
'x+1/2,y+1/2,z'
'-x+1/2,-y+1/2,-z'
'-x+1/2,y+1/2,-z'
'x+1/2,-y+1/2,z'
loop_
_atom_site_label
_atom_site_type_symbol
_atom_site_fract_x
_atom_site_fract_y
_atom_site_fract_z
Ac1 Ac 0.0140 0.0000 0.2710
Ac2 Ac 0.1099 0.5000 0.9275
Ac3 Ac 0.1582 0.5000 0.4336
Ac4 Ac 0.1872 0.0000 0.7333
Pr1 Pr 0.1866 0.0000 0.1719
Hg1 Hg 0.0000 0.5000 0.5000
```


Compound: LiFe2Co
Source: Alexandria via LeMat-Bulk
Functional: PBE
Structure: optimized geometry

- Density: 6.14 g cm⁻³
- Polymorph energy (0 for the lowest one): 24.7 meV/atom

Structure (CIF):
```
data_LiFe2Co
_cell_length_a 2.7563
_cell_length_b 4.0889
_cell_length_c 8.5170
_cell_angle_alpha 90.00
_cell_angle_beta 90.00
_cell_angle_gamma 90.00
_symmetry_space_group_name_H-M 'C m m m'
_symmetry_Int_Tables_number 65
_symmetry_space_group_name_Hall '-C 2 2'
loop_
_atom_site_label
_atom_site_type_symbol
_atom_site_fract_x
_atom_site_fract_y
_atom_site_fract_z
Li1 Li 0.0000 0.0000 0.0000
Fe1 Fe 0.0000 0.5000 0.2638
Co1 Co 0.0000 0.0000 0.5000
```


Question: Among the records above, which one has the highest density?
Answer: Pr2Zn3Au2


Question: What is the formula in the second record?
Answer: Ac8Pr2Hg


Question: Which of these has the highest density?
Answer: Pr2Zn3Au2


Question: The lowest density belongs to which entry?
Answer: LiFe2Co